(1)
LiAgIr: relaxed, GGA-PBE.

Calculated values
Total magnetization = 0.0 μB per cell
Excess energy over the best structure of this formula in the dataset = 129 meV/atom
DFT total energy = -4.3989 eV per atom
E_form = 0.14 eV per atom

abc: 2.5911 4.2866 8.3312
angles: 90.00 90.00 90.00
Space group Imm2 (No. 44)
Asymmetric unit:
Li: 0.0000 0.0000 0.0000 (multiplicity 2)
Ag: 0.0000 0.0000 0.6725 (multiplicity 2)
Ir: 0.0000 0.0000 0.3373 (multiplicity 2)

---

(2)
LiAgIr2: relaxed, GGA-PBE.

Calculated values
Total magnetization = 0.0 μB per cell
DFT total energy = -5.3503 eV per atom
E_form = 0.27 eV per atom

abc: 2.6486 4.3749 5.2358
angles: 90.00 90.00 90.00
Space group Pmmm (No. 47)
Asymmetric unit:
Li: 0.0000 0.0000 0.0000 (multiplicity 1)
Ag: 0.0000 0.0000 0.5000 (multiplicity 1)
Ir: 0.5000 0.5000 0.2368 (multiplicity 2)